## w
A relaxed structure of Mg3B7ClO13, computed with PBE.

* D(E_F): 0.00 states/eV/f.u.
* space-group type: F-43c (219)

The structure in extended XYZ format:
```
48
Lattice="-0.467 0.421 8.583 -7.253 -2.280 4.031 -0.244 -7.234 4.656" Properties=species:S:1:pos:R:3 pbc="T T T"
Mg -5.740 -7.031 8.661
Mg -5.618 -3.414 6.333
Mg -5.851 -3.203 10.625
Mg -2.225 -2.063 8.609
Mg -2.347 -5.680 10.937
Mg -2.113 -5.890 6.645
B -3.748 -4.757 4.344
B -1.427 -3.873 4.427
B -1.500 -1.405 5.693
B -3.627 -1.140 2.016
B -5.410 -8.420 13.062
B -7.670 -6.823 12.860
B -1.349 -1.540 2.925
B -0.234 0.210 4.292
B -3.860 -0.930 6.307
B -5.482 -5.952 14.328
B -3.688 -2.276 4.225
B -5.331 -6.087 11.560
B -0.122 -3.617 2.328
B -0.355 -3.407 6.619
Cl -3.982 -4.547 8.635
Cl 0.000 0.000 0.000
O -3.960 -1.138 9.189
O -1.598 -2.178 10.558
O -0.787 -5.785 8.205
O -4.485 -1.891 11.408
O -4.068 -6.729 11.310
O -0.896 -4.443 10.182
O -4.373 -8.297 9.517
O -4.927 -1.624 7.056
O -7.397 -6.176 7.809
O -6.209 -1.940 9.050
O -7.528 -4.293 10.171
O -1.338 -4.176 5.830
O -3.749 -5.773 5.415
O -4.906 -7.331 6.812
O -6.282 -6.319 10.506
O -5.973 -6.820 12.953
O -2.866 -4.271 12.333
O -5.185 -4.690 11.870
O -7.377 -3.186 7.362
O -0.781 -3.400 8.033
O -2.561 -1.537 6.656
O -2.578 -7.827 7.131
O -1.991 -2.273 4.318
O -4.130 -3.454 4.923
O -6.038 -5.391 5.991
O -1.557 -7.277 9.923
```

=====

## x
A relaxed structure of Mg3B7ClO13, computed with PBE.

* D(E_F): 0.00 states/eV/f.u.
* space-group type: Pca2_1 (29)

The structure in extended XYZ format:
```
96
Lattice="8.631 0.000 0.000 0.000 8.641 0.000 0.000 0.000 12.223" Properties=species:S:1:pos:R:3 pbc="T T T"
Mg 4.586 0.140 3.063
Mg 4.045 8.501 9.174
Mg 4.586 4.180 9.174
Mg 4.045 4.461 3.063
Mg 8.357 0.136 3.097
Mg 0.274 8.505 9.209
Mg 8.357 4.185 9.209
Mg 0.274 4.456 3.097
Mg 6.462 2.083 11.915
Mg 6.462 2.237 5.804
Mg 2.169 6.558 5.804
Mg 2.169 6.404 11.915
B 2.159 0.811 6.995
B 6.472 7.830 0.883
B 2.159 3.509 0.883
B 6.472 5.132 6.995
B 2.151 0.371 1.248
B 6.480 8.271 7.359
B 2.151 3.950 7.359
B 6.480 4.691 1.248
B 7.800 6.454 5.134
B 0.832 2.188 11.246
B 7.800 6.508 11.246
B 0.832 2.133 5.134
B 5.151 6.453 5.125
B 3.480 2.188 11.237
B 5.151 6.508 11.237
B 3.480 2.133 5.125
B 4.348 4.299 12.220
B 4.283 4.342 6.109
B 4.348 0.022 6.109
B 4.283 8.619 12.220
B 2.132 2.102 3.024
B 6.499 6.539 9.135
B 2.132 2.219 9.135
B 6.499 6.422 3.024
B 0.022 8.625 0.008
B 8.609 0.016 6.120
B 0.022 4.337 6.120
B 8.609 4.304 0.008
Cl 2.159 6.232 3.222
Cl 6.472 2.409 9.334
Cl 2.159 6.730 9.334
Cl 6.472 1.912 3.222
O 5.783 3.940 0.321
O 2.836 3.327 8.385
O 5.795 7.647 8.385
O 2.836 0.994 2.274
O 7.859 4.624 1.283
O 0.772 4.017 7.395
O 7.859 8.338 7.395
O 0.772 0.303 1.283
O 1.397 4.611 0.274
O 7.234 4.030 6.385
O 1.397 8.351 6.385
O 7.234 0.290 0.274
O 1.523 3.106 2.135
O 7.108 5.535 8.246
O 1.523 1.215 8.246
O 7.108 7.426 2.135
O 3.530 3.909 1.151
O 4.475 2.910 5.854
O 3.530 0.412 7.262
O 5.101 8.229 1.151
O 5.795 5.314 2.274
O 2.848 4.701 6.433
O 5.783 0.380 6.433
O 2.848 8.261 0.321
O 6.470 6.649 12.078
O 2.161 1.992 5.966
O 6.470 6.313 5.966
O 2.161 2.328 12.078
O 0.236 5.763 5.838
O 8.395 2.878 11.949
O 0.236 7.199 11.949
O 8.395 1.443 5.838
O 4.638 5.099 4.901
O 3.993 3.542 11.013
O 4.638 7.863 11.013
O 3.993 0.778 4.901
O 7.563 5.823 3.836
O 1.068 2.819 9.948
O 7.563 7.139 9.948
O 1.068 1.502 3.836
O 5.481 7.095 3.855
O 3.151 1.546 9.967
O 5.481 5.866 9.967
O 3.151 2.775 3.855
O 8.138 7.868 4.962
O 0.493 0.773 11.074
O 8.138 5.094 11.074
O 0.493 3.547 4.962
O 4.156 7.230 5.854
O 4.475 1.411 11.966
O 4.156 5.731 11.966
O 5.101 4.733 7.262
```

=====

Most stable pick: x. Distance to second place: 0.010 eV/atom.

=====

## w
A relaxed structure of MgBP2Cl, computed with PBE.

* D(E_F): 2.09 states/eV/f.u.
* space-group type: P4/mmm (123)

The structure in extended XYZ format:
```
5
Lattice="3.876 0.000 0.000 0.000 3.876 0.000 0.000 0.000 6.129" Properties=species:S:1:pos:R:3 pbc="T T T"
P 0.000 1.938 0.000
P 1.938 0.000 0.000
Mg 1.938 1.938 3.064
B 0.000 0.000 0.000
Cl 0.000 0.000 3.064
```

=====

## x
A relaxed structure of MgBP2Cl, computed with PBE.

* D(E_F): 3.70 states/eV/f.u.
* space-group type: P4/mmm (123)

The structure in extended XYZ format:
```
5
Lattice="-2.581 1.575 3.857 -3.402 -3.416 -0.882 2.380 -3.110 2.862" Properties=species:S:1:pos:R:3 pbc="T T T"
P -1.701 -1.708 -0.441
P -1.291 0.787 1.929
Mg 0.000 0.000 0.000
B -1.802 -2.476 2.919
Cl 1.190 -1.555 1.431
```

=====

Most stable pick: w. Distance to second place: 1.018 eV/atom.

=====

## w
A relaxed structure of MgBS2Cl, computed with PBE.

* D(E_F): 3.27 states/eV/f.u.
* space-group type: P4/mmm (123)

The structure in extended XYZ format:
```
5
Lattice="-2.842 -0.785 3.860 -0.089 -4.746 -1.031 3.986 -0.682 2.796" Properties=species:S:1:pos:R:3 pbc="T T T"
S -0.044 -2.373 -0.515
S -1.421 -0.393 1.930
B 0.528 -3.107 2.813
Mg 0.000 0.000 0.000
Cl 1.993 -0.341 1.398
```

=====

## x
A relaxed structure of MgBS2Cl, computed with PBE.

* D(E_F): 1.47 states/eV/f.u.
* space-group type: P4/mmm (123)

The structure in extended XYZ format:
```
5
Lattice="-1.198 0.193 -3.981 0.868 -4.044 -0.457 -4.444 -1.098 1.283" Properties=species:S:1:pos:R:3 pbc="T T T"
S 0.434 -2.022 -0.229
S -0.599 0.097 -1.990
B 0.000 0.000 0.000
Mg -2.387 -2.475 -1.577
Cl -2.222 -0.549 0.642
```

=====

Most stable pick: x. Distance to second place: 0.679 eV/atom.

=====

## w
A relaxed structure of MnBCl3, computed with PBE.

* D(E_F): 3.14 states/eV/f.u.
* space-group type: Pm-3m (221)

The structure in extended XYZ format:
```
5
Lattice="-0.981 -1.377 4.145 4.124 -1.694 0.413 1.441 3.909 1.640" Properties=species:S:1:pos:R:3 pbc="T T T"
B 0.000 0.000 0.000
Mn 2.292 0.419 3.099
Cl 2.062 -0.847 0.207
Cl 0.721 1.954 0.820
Cl -0.490 -0.689 2.073
```

=====

## x
A relaxed structure of MnBCl3, computed with PBE.

* D(E_F): 3.83 states/eV/f.u.
* space-group type: Pm-3m (221)

The structure in extended XYZ format:
```
5
Lattice="-1.632 2.537 3.860 -2.261 -4.008 1.679 4.028 -1.223 2.506" Properties=species:S:1:pos:R:3 pbc="T T T"
B 0.068 -1.347 4.022
Mn 0.000 0.000 0.000
Cl -1.131 -2.004 0.839
Cl 2.014 -0.611 1.253
Cl -0.816 1.269 1.930
```

=====

Most stable pick: x. Distance to second place: 0.116 eV/atom.

=====

## w
A relaxed structure of Mn2BCl, computed with PBE.

* D(E_F): 3.80 states/eV/f.u.
* space-group type: Fm-3m (225)

The structure in extended XYZ format:
```
4
Lattice="-0.528 -2.113 3.166 -1.779 1.519 3.049 -3.529 -1.185 0.953" Properties=species:S:1:pos:R:3 pbc="T T T"
B 0.000 0.000 0.000
Mn -1.459 -0.445 1.792
Mn -4.376 -1.334 5.376
Cl -2.917 -0.889 3.584
```

=====

## x
A relaxed structure of Mn2BCl, computed with PBE.

* D(E_F): 2.65 states/eV/f.u.
* space-group type: I-42d (122)

The structure in extended XYZ format:
```
8
Lattice="-3.272 1.680 -3.566 3.458 -1.001 -3.645 -1.755 -4.284 -4.088" Properties=species:S:1:pos:R:3 pbc="T T T"
B 0.093 0.339 -3.605
B 0.898 -2.473 -5.669
Mn -1.814 -0.268 -3.447
Mn 1.076 -1.365 -4.005
Mn -0.995 -3.031 -6.035
Mn -1.405 -2.546 -9.110
Cl 0.000 0.000 0.000
Cl -2.467 -1.132 -5.630
```

=====

Most stable pick: x. Distance to second place: 0.508 eV/atom.

=====

## w
A relaxed structure of MnB2Cl8, computed with PBE.

* D(E_F): 0.00 states/eV/f.u.
* space-group type: C2/c (15)

The structure in extended XYZ format:
```
22
Lattice="8.138 0.000 3.592 3.380 8.284 3.358 0.480 0.499 9.928" Properties=species:S:1:pos:R:3 pbc="T T T"
Mn 10.644 6.338 8.526
Mn 1.354 2.446 8.352
B 10.396 7.694 15.479
B 4.042 3.302 6.883
B 7.955 5.481 9.995
B 1.601 1.090 1.399
Cl 6.392 6.277 9.635
Cl 4.135 8.091 5.873
Cl 9.312 8.035 7.121
Cl 2.739 2.042 6.300
Cl 2.685 0.749 9.757
Cl 8.430 2.350 4.421
Cl 9.259 6.741 10.578
Cl 3.290 4.142 8.388
Cl 3.568 6.433 12.457
Cl 9.077 6.898 14.567
Cl 7.700 4.199 11.373
Cl 4.297 4.585 5.505
Cl 2.921 1.886 2.311
Cl 8.708 4.641 8.490
Cl 5.606 2.506 7.243
Cl 7.863 0.692 11.004
```

=====

## x
A relaxed structure of MnB2Cl8, computed with PBE.

* D(E_F): 0.00 states/eV/f.u.
* space-group type: C2/m (12)

The structure in extended XYZ format:
```
11
Lattice="-1.188 -3.521 -4.256 0.599 -6.083 4.170 -7.169 -0.541 1.753" Properties=species:S:1:pos:R:3 pbc="T T T"
Mn 0.000 0.000 0.000
B -6.005 -7.561 1.961
B -1.752 -2.584 -0.294
Cl -7.044 -3.045 1.785
Cl -6.088 -3.265 -1.791
Cl -5.671 -6.452 3.433
Cl -2.086 -3.693 -1.766
Cl -1.669 -6.880 3.458
Cl -0.713 -7.100 -0.118
Cl -5.113 -6.934 0.534
Cl -2.644 -3.211 1.134
```

=====

Most stable pick: w. Distance to second place: 0.010 eV/atom.

=====

## w
A relaxed structure of MnBPCl2, computed with PBE.

* D(E_F): 2.71 states/eV/f.u.
* space-group type: P4/mmm (123)

The structure in extended XYZ format:
```
5
Lattice="-3.303 -0.882 3.209 3.243 -1.869 2.824 0.757 4.263 1.951" Properties=species:S:1:pos:R:3 pbc="T T T"
P 0.379 2.132 0.976
B 0.349 0.756 3.992
Mn 0.000 0.000 0.000
Cl 1.621 -0.934 1.412
Cl -1.651 -0.441 1.605
```

=====

## x
A relaxed structure of MnBPCl2, computed with PBE.

* D(E_F): 1.22 states/eV/f.u.
* space-group type: P4/mmm (123)

The structure in extended XYZ format:
```
5
Lattice="-1.047 3.077 2.708 -2.027 -2.818 2.418 3.885 -0.762 2.368" Properties=species:S:1:pos:R:3 pbc="T T T"
P 1.942 -0.381 1.184
B 0.000 0.000 0.000
Mn 0.406 -0.251 3.747
Cl -1.013 -1.409 1.209
Cl -0.524 1.539 1.354
```

=====

Most stable pick: x. Distance to second place: 0.196 eV/atom.

=====

## w
A relaxed structure of MnBS2Cl, computed with PBE.

* D(E_F): 4.39 states/eV/f.u.
* space-group type: P4/mmm (123)

The structure in extended XYZ format:
```
5
Lattice="4.312 0.000 0.000 0.000 4.312 0.000 0.000 0.000 5.000" Properties=species:S:1:pos:R:3 pbc="T T T"
S 0.000 2.156 0.000
S 2.156 0.000 0.000
Mn 0.000 0.000 0.000
B 2.156 2.156 2.500
Cl 0.000 0.000 2.500
```

=====

## x
A relaxed structure of MnBS2Cl, computed with PBE.

* D(E_F): 1.38 states/eV/f.u.
* space-group type: P4/mmm (123)

The structure in extended XYZ format:
```
5
Lattice="-0.172 -2.096 3.577 2.250 -3.054 -1.681 3.927 2.109 1.425" Properties=species:S:1:pos:R:3 pbc="T T T"
S 1.125 -1.527 -0.841
S -0.086 -1.048 1.788
Mn 3.002 -1.520 1.660
B 0.000 0.000 0.000
Cl 1.963 1.055 0.712
```

=====

Most stable pick: x. Distance to second place: 0.436 eV/atom.